# As3HF (GGA-PBEsol, optimized geometry)
data_As3HF
_cell_length_a 4.4692
_cell_length_b 4.4692
_cell_length_c 4.4692
_cell_angle_alpha 90.00
_cell_angle_beta 90.00
_cell_angle_gamma 90.00
_space_group_name_H-M_alt 'P m -3 m'
_space_group_IT_number 221
_space_group_name_Hall '-P 4 2 3'
loop_
_atom_site_label
_atom_site_type_symbol
_atom_site_fract_x
_atom_site_fract_y
_atom_site_fract_z
As1 As 0.0000 0.0000 0.5000
H1 H 0.5000 0.5000 0.5000
F1 F 0.0000 0.0000 0.0000
# - DOS(E_F) (states/eV per cell) = 2.50
# - calculated total energy (eV per formula unit) = -16.1